1.
First-principles (PBE-GGA) data for an optimized crystal structure of AcInGa2Pd, as listed in the Alexandria database.

Structure (CIF):
```
data_AcInGa2Pd
_cell_length_a 4.475
_cell_length_b 4.620
_cell_length_c 11.143
_cell_angle_alpha 90.00
_cell_angle_beta 90.00
_cell_angle_gamma 90.00
_symmetry_space_group_name_H-M 'I m m 2'
_symmetry_Int_Tables_number 44
_symmetry_space_group_name_Hall 'I 2 -2'
loop_
_atom_site_label
_atom_site_fract_x
_atom_site_fract_y
_atom_site_fract_z
Ac1 0.000 0.000 0.000
In1 0.000 0.500 0.756
Ga1 0.000 0.000 0.408
Ga2 0.000 0.500 0.254
Pd1 0.000 0.000 0.632
```

* calculated formation energy: -0.6520 eV/atom
* DOS at the Fermi energy: 0.418 states/eV per atom

---

2.
First-principles (PBE-GGA) data for an optimized crystal structure of Ac3In2GaPd9, as listed in the Alexandria database.

Structure (CIF):
```
data_Ac3In2GaPd9
_cell_length_a 6.8697
_cell_length_b 6.8697
_cell_length_c 9.0940
_cell_angle_alpha 90.00
_cell_angle_beta 90.00
_cell_angle_gamma 120.00
_symmetry_space_group_name_H-M 'P -3 m 1'
_symmetry_Int_Tables_number 164
_symmetry_space_group_name_Hall '-P 3 2"'
loop_
_atom_site_label
_atom_site_fract_x
_atom_site_fract_y
_atom_site_fract_z
Ac1 0.0000 0.0000 0.0000
Ac2 0.3333 0.6667 0.7174
In1 0.3333 0.6667 0.1965
Ga1 0.0000 0.0000 0.5000
Pd1 0.0000 0.5000 0.0000
Pd2 0.1320 0.2640 0.2883
```

* calculated formation energy: -0.4924 eV/atom
* DOS at the Fermi energy: 0.330 states/eV per atom

---

3.
First-principles (PBE-GGA) data for an optimized crystal structure of AcInGa2Pd2, as listed in the Alexandria database.

Structure (CIF):
```
data_AcInGa2Pd2
_cell_length_a 4.4882
_cell_length_b 4.4882
_cell_length_c 7.3888
_cell_angle_alpha 90.00
_cell_angle_beta 90.00
_cell_angle_gamma 120.00
_symmetry_space_group_name_H-M 'P -3 m 1'
_symmetry_Int_Tables_number 164
_symmetry_space_group_name_Hall '-P 3 2"'
loop_
_atom_site_label
_atom_site_fract_x
_atom_site_fract_y
_atom_site_fract_z
Ac1 0.0000 0.0000 0.0000
In1 0.0000 0.0000 0.5000
Ga1 0.3333 0.6667 0.7248
Pd1 0.3333 0.6667 0.3462
```

* calculated formation energy: -0.6490 eV/atom
* DOS at the Fermi energy: 0.440 states/eV per atom

---

4.
First-principles (PBE-GGA) data for an optimized crystal structure of AcPmInGa, as listed in the Alexandria database.

Structure (CIF):
```
data_AcPmInGa
_cell_length_a 7.813
_cell_length_b 7.813
_cell_length_c 7.813
_cell_angle_alpha 90.00
_cell_angle_beta 90.00
_cell_angle_gamma 90.00
_symmetry_space_group_name_H-M 'F -4 3 m'
_symmetry_Int_Tables_number 216
_symmetry_space_group_name_Hall 'F -4 2 3'
loop_
_atom_site_label
_atom_site_fract_x
_atom_site_fract_y
_atom_site_fract_z
Ac1 0.000 0.000 0.000
Pm1 0.000 0.000 0.500
In1 0.250 0.250 0.250
Ga1 0.250 0.250 0.750
```

* calculated formation energy: -0.4309 eV/atom
* DOS at the Fermi energy: 0.578 states/eV per atom

---

> Which value of DOS at the Fermi energy does entry 2 give?

0.330 states/eV per atom